An optimized crystal structure of NaTa2MoO8, computed with GGA+U.

Summary:
ρ: 6.85 g cm⁻³
electronic total energy: -99.9 eV per cell
total magnetization: 1.000 μB/cell

a b c (Å): 4.8442 4.8442 6.2940
angles (deg): 90.56 90.56 91.57
Element x y z (fractional)
Na 0.0000 0.0000 0.0000
Ta 0.4920 0.4920 0.2438
Ta 0.5080 0.5080 0.7562
Mo 0.0000 0.0000 0.5000
O 0.2072 0.2072 0.7088
O 0.2122 0.2122 0.2780
O 0.3046 0.6954 0.5000
O 0.3214 0.6786 0.0000
O 0.6786 0.3214 0.0000
O 0.6954 0.3046 0.5000
O 0.7878 0.7878 0.7220
O 0.7928 0.7928 0.2912